1.
{
  "formula": "Al2AsPb",
  "functional": "PBE",
  "state": "relaxed",
  "cell": [[-1.229, 3.877, 0.497], [-2.705, -0.519, -2.643], [-4.300, -1.975, 4.775]],
  "species": ["Al", "Pb", "Al", "As"],
  "frac_coords": [[0.500, 0.375, 0.162], [0.500, 0.876, 0.813], [0.000, 0.875, 0.133], [0.000, 0.374, 0.392]],
  "crystal_system": "monoclinic",
  "spacegroup": "Pm (6)",
  "magmom_total_mub_per_fu": 0.0,
  "dos_at_fermi_per_ev_atom": 0.10,
  "e_above_lowest_polymorph_mev_per_atom": 4,
  "ef_ev_per_atom": 0.002,
  "rho_g_cm3": 5.3
}



2.
{
  "formula": "AlAsPb2",
  "functional": "PBE",
  "state": "relaxed",
  "cell": [[-1.023, 2.863, -2.273], [-4.971, -1.307, 0.591], [-2.736, 2.643, 4.561]],
  "species": ["As", "Pb", "Pb", "Al"],
  "frac_coords": [[0.500, 0.632, 0.760], [0.000, 0.995, 0.937], [0.500, 0.243, 0.321], [0.000, 0.629, 0.483]],
  "crystal_system": "monoclinic",
  "spacegroup": "Pm (6)",
  "magmom_total_mub_per_fu": 0.0,
  "dos_at_fermi_per_ev_atom": 0.32,
  "e_above_lowest_polymorph_mev_per_atom": 7,
  "ef_ev_per_atom": 0.045,
  "rho_g_cm3": 8.1
}



3.
{
  "formula": "Al2AsPb",
  "functional": "PBE",
  "state": "relaxed",
  "cell": [[-1.431, 2.534, -3.741], [-3.953, 0.080, -2.612], [-3.167, 4.367, 2.415]],
  "species": ["Pb", "Al", "Al", "As"],
  "frac_coords": [[0.753, 0.753, 0.771], [0.243, 0.243, 0.260], [0.987, 0.987, 0.071], [0.518, 0.518, 0.398]],
  "crystal_system": "monoclinic",
  "spacegroup": "Cm (8)",
  "magmom_total_mub_per_fu": 0.0,
  "dos_at_fermi_per_ev_atom": 0.25,
  "e_above_lowest_polymorph_mev_per_atom": 121,
  "ef_ev_per_atom": 0.119,
  "rho_g_cm3": 6.1
}



4.
{
  "formula": "Al2AsPb",
  "functional": "PBE",
  "state": "relaxed",
  "cell": [[4.684, 0.000, 0.000], [0.000, 4.684, 0.000], [0.000, 0.000, 3.982]],
  "species": ["As", "Pb", "Al", "Al"],
  "frac_coords": [[0.500, 0.000, 0.500], [0.000, 0.500, 0.500], [0.000, 0.000, 0.000], [0.500, 0.500, 0.000]],
  "crystal_system": "tetragonal",
  "spacegroup": "P4/mmm (123)",
  "magmom_total_mub_per_fu": 0.0,
  "dos_at_fermi_per_ev_atom": 0.31,
  "e_above_lowest_polymorph_mev_per_atom": 268,
  "ef_ev_per_atom": 0.266,
  "rho_g_cm3": 6.4
}



5.
{
  "formula": "AlAsRuPb2",
  "functional": "PBE",
  "state": "relaxed",
  "cell": [[-1.041, 3.432, -4.025], [-3.026, -3.037, -1.807], [-3.961, 2.214, 2.912]],
  "species": ["Pb", "As", "Ru", "Al", "Pb"],
  "frac_coords": [[0.000, 0.000, 0.500], [0.000, 0.500, 0.000], [0.000, 0.000, 0.000], [0.500, 0.500, 0.500], [0.500, 0.000, 0.000]],
  "crystal_system": "tetragonal",
  "spacegroup": "P4/mmm (123)",
  "magmom_total_mub_per_fu": 0.0,
  "dos_at_fermi_per_ev_atom": 0.51,
  "ef_ev_per_atom": 0.431,
  "rho_g_cm3": 7.6
}



6.
{
  "formula": "AlSb2AsPb",
  "functional": "PBE",
  "state": "relaxed",
  "cell": [[5.514, 0.000, 0.000], [0.000, 4.942, 0.000], [0.000, 0.000, 5.514]],
  "species": ["As", "Al", "Sb", "Pb", "Sb"],
  "frac_coords": [[0.000, 0.000, 0.000], [0.000, 0.500, 0.000], [0.000, 0.000, 0.500], [0.500, 0.500, 0.500], [0.500, 0.000, 0.000]],
  "crystal_system": "tetragonal",
  "spacegroup": "P4/mmm (123)",
  "magmom_total_mub_per_fu": 0.0,
  "dos_at_fermi_per_ev_atom": 0.90,
  "e_form_raw_ev_per_atom": 0.418,
  "rho_g_cm3": 6.1
}